DFT (meta-GGA SCAN) results for a crystal of Y2TcSnO relaxed with PBEsol.

Values from the calculation:
Space-group type: P4/mmm, No. 123
Formation energy from raw total energies (eV per formula unit): 4.63

abc: 4.786 5.620 5.620
angles: 90.00 90.00 90.00
Element x y z (fractional)
Tc 0.500 0.000 0.000
Y 0.000 0.000 0.500
Y 0.000 0.500 0.000
O 0.500 0.500 0.500
Sn 0.000 0.000 0.000